A relaxed structure of Sm3Mg5Tl2, computed with PBE.

Theoretical density (g/cm3): 5.894
Space-group type: No. 72
Formation enthalpy at 0 K (kJ/mol of atoms): -6
DFT total energy (eV/atom): -2.75

a b c (Å): 9.8748 9.8748 9.8748
angles (deg): 99.54 92.30 142.57
Closest atoms and distances in Å follow each position.
Atoms (fractional coordinates):
Sm 0.2434 0.1270 0.3705  4 Tl 3.30-3.61, 4 Mg 3.46-3.52
Sm 0.2500 0.2500 0.0000  2 Sm 3.17, 4 Tl 3.17, 2 Mg 3.27
Sm 0.2566 0.6270 0.8836  4 Tl 3.30-3.61, 4 Mg 3.46-3.52
Sm 0.7434 0.3730 0.1164  4 Tl 3.30-3.61, 4 Mg 3.46-3.52
Sm 0.7500 0.7500 0.0000  2 Sm 3.17, 4 Tl 3.17, 2 Mg 3.27
Sm 0.7566 0.8730 0.6295  4 Tl 3.30-3.61, 4 Mg 3.46-3.52
Mg 0.1465 0.3829 0.5294  1 Tl 2.75, 4 Mg 2.96-3.02
Mg 0.2500 0.5066 0.2566  5 Mg 3.02-3.17, 2 Tl 3.03, 1 Sm 3.27
Mg 0.2500 0.7500 0.5000  8 Mg 2.96-3.17
Mg 0.2500 0.9934 0.7434  5 Mg 3.02-3.17, 2 Tl 3.03, 1 Sm 3.27
Mg 0.3535 0.8829 0.2364  1 Tl 2.75, 4 Mg 2.96-3.02
Mg 0.6465 0.1171 0.7636  1 Tl 2.75, 4 Mg 2.96-3.02
Mg 0.7500 0.0066 0.2566  5 Mg 3.02-3.17, 2 Tl 3.03, 1 Sm 3.27
Mg 0.7500 0.2500 0.5000  8 Mg 2.96-3.17
Mg 0.7500 0.4934 0.7434  5 Mg 3.02-3.17, 2 Tl 3.03, 1 Sm 3.27
Mg 0.8535 0.6171 0.4706  1 Tl 2.75, 4 Mg 2.96-3.02
Tl 0.1538 0.8611 0.0150  3 Mg 2.75-3.03
Tl 0.3462 0.3611 0.7073  3 Mg 2.75-3.03
Tl 0.6538 0.6389 0.2927  3 Mg 2.75-3.03
Tl 0.8462 0.1389 0.9850  3 Mg 2.75-3.03